Entry 1:
# PBEsol SiRuPt, optimized geometry
data_SiRuPt
_cell_length_a 5.609
_cell_length_b 5.609
_cell_length_c 5.609
_cell_angle_alpha 90.00
_cell_angle_beta 90.00
_cell_angle_gamma 90.00
_space_group_name_H-M_alt 'F -4 3 m'
_space_group_IT_number 216
_space_group_name_Hall 'F -4 2 3'
loop_
_atom_site_label
_atom_site_fract_x
_atom_site_fract_y
_atom_site_fract_z
_atom_site_occupancy
Si1 0.000 0.000 0.000 1
Ru1 0.250 0.250 0.750 1
Pt1 0.250 0.250 0.250 1
# formation energy (no corrections) = -517 meV/atom
# energy above the most stable polymorph in this dataset = 0 meV per atom

---

Entry 2:
# PBEsol Rb2CaWC, optimized geometry
data_Rb2CaWC
_cell_length_a 6.484
_cell_length_b 6.484
_cell_length_c 5.586
_cell_angle_alpha 90.00
_cell_angle_beta 90.00
_cell_angle_gamma 90.00
_space_group_name_H-M_alt 'P 4/m m m'
_space_group_IT_number 123
_space_group_name_Hall '-P 4 2'
loop_
_atom_site_label
_atom_site_fract_x
_atom_site_fract_y
_atom_site_fract_z
_atom_site_occupancy
Rb1 0.000 0.500 0.000 1
Ca1 0.000 0.000 0.500 1
W1 0.000 0.000 0.000 1
C1 0.500 0.500 0.500 1
# formation energy from the elements = 2.70 eV/atom

---

Entry 3:
# PBEsol LiCd2SbCl, optimized geometry
data_LiCd2SbCl
_cell_length_a 5.493
_cell_length_b 5.493
_cell_length_c 5.225
_cell_angle_alpha 90.00
_cell_angle_beta 90.00
_cell_angle_gamma 90.00
_space_group_name_H-M_alt 'P 4/m m m'
_space_group_IT_number 123
_space_group_name_Hall '-P 4 2'
loop_
_atom_site_label
_atom_site_fract_x
_atom_site_fract_y
_atom_site_fract_z
_atom_site_occupancy
Li1 0.000 0.000 0.000 1
Cd1 0.000 0.500 0.500 1
Sb1 0.000 0.000 0.500 1
Cl1 0.500 0.500 0.000 1
# formation energy (no corrections) = -179 meV/atom

---

Entry 4:
# PBEsol YTa3Mo, optimized geometry
data_YTa3Mo
_cell_length_a 4.728
_cell_length_b 4.728
_cell_length_c 4.728
_cell_angle_alpha 90.00
_cell_angle_beta 90.00
_cell_angle_gamma 90.00
_space_group_name_H-M_alt 'P m -3 m'
_space_group_IT_number 221
_space_group_name_Hall '-P 4 2 3'
loop_
_atom_site_label
_atom_site_fract_x
_atom_site_fract_y
_atom_site_fract_z
_atom_site_occupancy
Y1 0.000 0.000 0.000 1
Ta1 0.000 0.000 0.500 1
Mo1 0.500 0.500 0.500 1
# formation energy from the elements = 2.63 eV/atom

---

Entry 5:
# PBEsol Mg3BiAs, optimized geometry
data_Mg3BiAs
_cell_length_a 5.290
_cell_length_b 5.290
_cell_length_c 5.290
_cell_angle_alpha 90.00
_cell_angle_beta 90.00
_cell_angle_gamma 90.00
_space_group_name_H-M_alt 'P m -3 m'
_space_group_IT_number 221
_space_group_name_Hall '-P 4 2 3'
loop_
_atom_site_label
_atom_site_fract_x
_atom_site_fract_y
_atom_site_fract_z
_atom_site_occupancy
Mg1 0.000 0.000 0.500 1
Bi1 0.000 0.000 0.000 1
As1 0.500 0.500 0.500 1
# formation energy from the elements = 0.43 eV/atom

---

Entry 6:
# PBEsol Mn3Nb2ZnO9, optimized geometry
data_Mn3Nb2ZnO9
_cell_length_a 5.2515
_cell_length_b 5.2515
_cell_length_c 14.2116
_cell_angle_alpha 90.00
_cell_angle_beta 90.00
_cell_angle_gamma 120.00
_space_group_name_H-M_alt 'P 3 c 1'
_space_group_IT_number 158
_space_group_name_Hall 'P 3 -2"c'
loop_
_atom_site_label
_atom_site_fract_x
_atom_site_fract_y
_atom_site_fract_z
_atom_site_occupancy
Mn1 0.0000 0.0000 0.0000 1
Mn2 0.0000 0.0000 0.2161 1
Mn3 0.3333 0.6667 0.1826 1
Nb1 0.6667 0.3333 0.0567 1
Nb2 0.6667 0.3333 0.3386 1
Zn1 0.3333 0.6667 0.3990 1
O1 0.0115 0.3591 0.2814 1
O2 0.3228 0.0152 0.6139 1
O3 0.3837 0.0448 0.9473 1
# formation energy (no corrections) = -1880 meV/atom

---

Entry 7:
# PBEsol La3SiS, optimized geometry
data_La3SiS
_cell_length_a 5.337
_cell_length_b 5.337
_cell_length_c 5.337
_cell_angle_alpha 90.00
_cell_angle_beta 90.00
_cell_angle_gamma 90.00
_space_group_name_H-M_alt 'P m -3 m'
_space_group_IT_number 221
_space_group_name_Hall '-P 4 2 3'
loop_
_atom_site_label
_atom_site_fract_x
_atom_site_fract_y
_atom_site_fract_z
_atom_site_occupancy
La1 0.000 0.000 0.500 1
Si1 0.500 0.500 0.500 1
S1 0.000 0.000 0.000 1
# formation energy (no corrections) = -738 meV/atom

---

Entry 8:
# PBEsol LiTiO2, optimized geometry
data_LiTiO2
_cell_length_a 2.8782
_cell_length_b 2.8782
_cell_length_c 14.8059
_cell_angle_alpha 90.00
_cell_angle_beta 90.00
_cell_angle_gamma 120.00
_space_group_name_H-M_alt 'R -3 m'
_space_group_IT_number 166
_space_group_name_Hall '-R 3 2"'
loop_
_atom_site_label
_atom_site_fract_x
_atom_site_fract_y
_atom_site_fract_z
_atom_site_occupancy
Li1 0.0000 0.0000 0.0000 1
Ti1 0.0000 0.0000 0.5000 1
O1 0.0000 0.0000 0.2467 1
# formation energy (no corrections) = -2670 meV/atom

---

Entry 9:
# PBEsol ZnPtCl2, optimized geometry
data_ZnPtCl2
_cell_length_a 3.019
_cell_length_b 3.019
_cell_length_c 7.174
_cell_angle_alpha 90.00
_cell_angle_beta 90.00
_cell_angle_gamma 90.00
_space_group_name_H-M_alt 'P 4/m m m'
_space_group_IT_number 123
_space_group_name_Hall '-P 4 2'
loop_
_atom_site_label
_atom_site_fract_x
_atom_site_fract_y
_atom_site_fract_z
_atom_site_occupancy
Zn1 0.000 0.000 0.000 1
Pt1 0.000 0.000 0.500 1
Cl1 0.500 0.500 0.219 1
# formation energy (no corrections) = 308 meV/atom
# energy above the most stable polymorph in this dataset = 482 meV per atom

---

Entry 10:
# PBEsol Sr3Co2Cl2O4, optimized geometry
data_Sr3Co2Cl2O4
_cell_length_a 3.838
_cell_length_b 3.838
_cell_length_c 23.023
_cell_angle_alpha 90.00
_cell_angle_beta 90.00
_cell_angle_gamma 90.00
_space_group_name_H-M_alt 'I 4/m m m'
_space_group_IT_number 139
_space_group_name_Hall '-I 4 2'
loop_
_atom_site_label
_atom_site_fract_x
_atom_site_fract_y
_atom_site_fract_z
_atom_site_occupancy
Sr1 0.000 0.000 0.000 1
Sr2 0.000 0.000 0.151 1
Co1 0.000 0.000 0.428 1
Cl1 0.000 0.000 0.296 1
O1 0.000 0.500 0.076 1
# formation energy (no corrections) = -2011 meV/atom

---

Entry 11:
# PBEsol AgP2Cl, optimized geometry
data_AgP2Cl
_cell_length_a 6.378
_cell_length_b 6.378
_cell_length_c 6.378
_cell_angle_alpha 90.00
_cell_angle_beta 90.00
_cell_angle_gamma 90.00
_space_group_name_H-M_alt 'F m -3 m'
_space_group_IT_number 225
_space_group_name_Hall '-F 4 2 3'
loop_
_atom_site_label
_atom_site_fract_x
_atom_site_fract_y
_atom_site_fract_z
_atom_site_occupancy
Ag1 0.000 0.000 0.000 1
P1 0.250 0.250 0.250 1
Cl1 0.000 0.000 0.500 1
# formation energy (no corrections) = 718 meV/atom
# energy above the most stable polymorph in this dataset = 810 meV per atom

---

Entry 12:
# PBEsol Cr2RePb, optimized geometry
data_Cr2RePb
_cell_length_a 9.058
_cell_length_b 2.971
_cell_length_c 4.670
_cell_angle_alpha 90.00
_cell_angle_beta 105.46
_cell_angle_gamma 90.00
_space_group_name_H-M_alt 'C 1 m 1'
_space_group_IT_number 8
_space_group_name_Hall 'C -2y'
loop_
_atom_site_label
_atom_site_fract_x
_atom_site_fract_y
_atom_site_fract_z
_atom_site_occupancy
Cr1 0.000 0.000 0.000 1
Cr2 0.222 0.500 0.201 1
Re1 0.459 0.000 0.399 1
Pb1 0.232 0.000 0.713 1
# formation energy from the elements = 0.67 eV/atom

---

| no. | total magnetization (μB/f.u.) | theoretical density (g/cm³) |
| --- | --- | --- |
| 1 | 0.0 | 12.20 |
| 2 | 6.2 | 2.88 |
| 3 | 0.0 | 4.10 |
| 4 | 0.7 | 11.43 |
| 5 | 0.0 | 4.00 |
| 6 | 15.0 | 5.48 |
| 7 | 0.0 | 5.21 |
| 8 | 0.0 | 4.07 |
| 9 | 0.0 | 8.41 |
| 10 | 4.0 | 5.05 |
| 11 | 0.0 | 5.26 |
| 12 | 0.3 | 13.64 |